# 1
A relaxed structure of CoSiSe. Source: Alexandria via LeMat-Bulk, functional GGA-PBEsol.

The structure in POSCAR format:
```
CoSiSe
1.0
-1.5077 3.3831 -1.4158
-2.9591 1.8093 1.9218
0.6660 3.4159 1.9003
Si Co Se
1 1 1
Direct
0.5000 0.5000 0.5000
0.2500 0.2500 0.2500
0.0000 0.0000 0.0000
```

- Space-group type: F-43m
- Crystal system: cubic
- Formation energy without anion corrections: -0.1472 eV/atom

---

# 2
A relaxed structure of LiSbRh. Source: Alexandria via LeMat-Bulk, functional GGA-PBEsol.

The structure in POSCAR format:
```
LiSbRh
1.0
3.3546 0.0000 0.0000
0.0000 3.3546 0.0000
-1.6773 -1.6773 4.1124
Sb Rh Li
1 1 1
Direct
0.6732 0.6732 0.3464
0.3301 0.3301 0.6603
0.9967 0.9967 0.9933
```

- Space-group type: I4mm
- Crystal system: tetragonal
- Formation energy without anion corrections: -0.5022 eV/atom

---

# 3
A relaxed structure of HgBi2P2. Source: Alexandria via LeMat-Bulk, functional GGA-PBEsol.

The structure in POSCAR format:
```
HgBi2P2
1.0
4.9041 0.0000 0.0000
0.0000 4.9041 0.0000
-2.4520 -2.4520 5.9007
P Bi Hg
2 2 1
Direct
0.2500 0.7500 0.5000
0.7500 0.2500 0.5000
0.3565 0.3565 0.7130
0.6435 0.6435 0.2870
0.0000 0.0000 0.0000
```

- Space-group type: I4/mmm
- Formation enthalpy at 0 K: 0.30 eV/atom
- Crystal system: tetragonal

---

# 4
A relaxed structure of RhSe3F. Source: Alexandria via LeMat-Bulk, functional GGA-PBEsol.

The structure in POSCAR format:
```
RhSe3F
1.0
-2.4239 -1.9308 -3.2149
-3.1346 -1.0582 2.9989
-2.0587 3.8847 -0.7810
Rh Se F
1 3 1
Direct
0.5000 0.5000 0.5000
0.0000 0.5000 0.0000
0.0000 0.0000 0.5000
0.5000 0.0000 0.0000
0.0000 0.0000 0.0000
```

- Space-group type: Pm-3m
- Crystal system: cubic
- Formation energy without anion corrections: 0.7652 eV/atom

---

# 5
A relaxed structure of LiTiSiO4. Source: Alexandria via LeMat-Bulk, functional GGA-PBEsol.

The structure in POSCAR format:
```
LiTiSiO4
1.0
5.6659 0.0000 0.0000
0.0000 5.6659 0.0000
0.0000 0.0000 8.0863
Li Ti Si O
4 4 4 16
Direct
0.0000 0.2283 0.0000
0.0000 0.7717 0.5000
0.2283 0.0000 0.2500
0.7717 0.0000 0.7500
0.2473 0.5000 0.2500
0.5000 0.2473 0.0000
0.5000 0.7527 0.5000
0.7527 0.5000 0.7500
0.2453 0.2453 0.6250
0.2453 0.7547 0.8750
0.7547 0.2453 0.3750
0.7547 0.7547 0.1250
0.9939 0.2566 0.2602
0.9939 0.7434 0.2398
0.2566 0.9939 0.9898
0.2566 0.0061 0.5102
0.2552 0.5145 0.9951
0.2552 0.4855 0.5049
0.5145 0.2552 0.2549
0.5145 0.7448 0.2451
0.4855 0.2552 0.7451
0.4855 0.7448 0.7549
0.7448 0.4855 0.4951
0.7448 0.5145 0.0049
0.7434 0.0061 0.4898
0.7434 0.9939 0.0102
0.0061 0.2566 0.7398
0.0061 0.7434 0.7602
```

- Space-group type: P4_322
- E above lowest polymorph: 8.6 meV/atom
- Crystal system: tetragonal
- Formation energy without anion corrections: -2.6987 eV/atom

---

# 6
A relaxed structure of SrCr3S. Source: Alexandria via LeMat-Bulk, functional GGA-PBEsol.

The structure in POSCAR format:
```
SrCr3S
1.0
-4.9569 1.3465 1.4720
-0.5248 -4.6837 2.5174
1.9247 2.1908 4.4773
Sr S Cr
1 1 3
Direct
0.0000 0.0000 0.0000
0.5000 0.5000 0.5000
0.0000 0.5000 0.0000
0.0000 0.0000 0.5000
0.5000 0.0000 0.0000
```

- Space-group type: Pm-3m
- E above lowest polymorph: 2116.9 meV/atom
- Crystal system: cubic
- Formation energy without anion corrections: 2.6178 eV/atom

---

# 7
A relaxed structure of Cd3PdCl. Source: Alexandria via LeMat-Bulk, functional GGA-PBEsol.

The structure in POSCAR format:
```
Cd3PdCl
1.0
5.1109 0.0000 0.0000
0.0000 5.1109 0.0000
0.0000 0.0000 5.1109
Cl Pd Cd
1 1 3
Direct
0.5000 0.5000 0.5000
0.0000 0.0000 0.0000
0.0000 0.5000 0.0000
0.0000 0.0000 0.5000
0.5000 0.0000 0.0000
```

- Space-group type: Pm-3m
- Crystal system: cubic
- Formation energy without anion corrections: -0.0630 eV/atom

---

# 8
A relaxed structure of Cd2PbSI. Source: Alexandria via LeMat-Bulk, functional GGA-PBEsol.

The structure in POSCAR format:
```
Cd2PbSI
1.0
-4.9765 -0.7827 0.0047
0.5300 -3.3914 -3.6873
0.6611 -4.1798 3.9394
Pb I S Cd
1 1 1 2
Direct
0.5000 0.5000 0.5000
0.0000 0.0000 0.5000
0.0000 0.0000 0.0000
0.0000 0.5000 0.0000
0.5000 0.0000 0.0000
```

- Space-group type: P4/mmm
- Crystal system: tetragonal
- Formation energy without anion corrections: 0.2549 eV/atom

---

Calculated values (g/cm3) of ρ for the records, taken in order: 6.25 8.31 7.96 6.69 3.76 3.00 5.96 6.69.